(1)
The following is a DFT calculation (PBE) of an optimized crystal structure of CaCd4P.

## Properties
Formation enthalpy at 0 K in eV per formula unit: 0.355

a b c (Å): 5.877 5.877 5.877
angles (deg): 60.00 60.00 60.00
Sites, in units of the cell vectors:
Ca 0.000 0.000 0.000
Cd 0.873 0.376 0.376
Cd 0.376 0.376 0.376
Cd 0.376 0.376 0.873
Cd 0.376 0.873 0.376
P 0.750 0.750 0.750



(2)
The following is a DFT calculation (PBE) of an optimized crystal structure of CsSr2US6.

## Properties
Formation energy from raw total energies in eV/atom: -1.396

a b c (Å): 7.475 7.475 7.969
angles (deg): 62.03 62.03 60.00
Sites, in units of the cell vectors:
Sr 0.528 0.528 0.416
Sr 0.999 0.999 0.003
S 0.706 0.200 0.764
S 0.551 0.263 0.216
S 0.263 0.971 0.216
S 0.971 0.551 0.216
S 0.330 0.706 0.764
S 0.199 0.330 0.764
Cs 0.784 0.784 0.648
U 0.331 0.330 0.009



(3)
The following is a DFT calculation (PBE) of an optimized crystal structure of CePuTlSn.

## Properties
Formation enthalpy at 0 K in eV per formula unit: -1.341
Excess energy over the best structure of this formula in the dataset in eV per atom: 0.0000

a b c (Å): 4.681 4.853 4.845
angles (deg): 90.00 90.00 90.00
Sites, in units of the cell vectors:
Pu 0.500 0.500 0.000
Ce 0.500 0.000 0.500
Sn 0.000 0.000 0.000
Tl 0.000 0.500 0.500



Calculated total energy values (in eV for the cell shown) by entry order: -10.72 -54.23 -27.98.